# 1
Density functional theory data (GGA-PBE) for an optimized crystal structure of ZrNiHg2.

ΔE_f: 0.030 eV per atom
total magnetic moment: 0.00 μB/cell

Cell and atoms, written as extended XYZ:
```
4
Lattice="5.1150 -1.7803 0.0000 5.1150 1.7803 0.0000 -2.1699 0.0000 4.1931" Properties=species:S:1:pos:R:3 pbc="T T T"
Zr 0.0000 0.0000 0.0000
Ni 4.0301 0.0000 2.0966
Hg 0.7226 0.0000 3.0367
Hg 7.3376 0.0000 1.1564
```


# 2
Density functional theory data (GGA-PBE) for an optimized crystal structure of ZrNiHg2.

ΔE_f: 0.132 eV per atom
total magnetic moment: 0.00 μB/cell

Cell and atoms, written as extended XYZ:
```
4
Lattice="1.5890 0.9174 8.9950 -1.5890 0.9174 8.9950 0.0000 -1.8348 8.9950" Properties=species:S:1:pos:R:3 pbc="T T T"
Zr 0.0000 0.0000 0.0000
Ni 0.0000 0.0000 13.4926
Hg 0.0000 0.0000 6.4741
Hg 0.0000 0.0000 20.5110
```


# 3
Density functional theory data (GGA-PBE) for an optimized crystal structure of ZrNiHg2.

ΔE_f: 0.073 eV per atom
total magnetic moment: 0.00 μB/cell

Cell and atoms, written as extended XYZ:
```
4
Lattice="4.1072 0.0000 0.0000 0.0000 4.1311 0.0000 0.0000 0.0000 4.5639" Properties=species:S:1:pos:R:3 pbc="T T T"
Zr 0.0000 0.0000 0.0000
Ni 2.0536 2.0656 0.0000
Hg 0.0000 2.0656 2.2819
Hg 2.0536 0.0000 2.2819
```


# 4
Density functional theory data (GGA-PBE) for an optimized crystal structure of ZrNiHg2.

ΔE_f: 0.240 eV per atom
total magnetic moment: 0.00 μB/cell

Cell and atoms, written as extended XYZ:
```
8
Lattice="-3.8868 3.8868 2.7237 3.8868 -3.8868 2.7237 3.8868 3.8868 -2.7237" Properties=species:S:1:pos:R:3 pbc="T T T"
Zr 0.0000 0.0000 0.0000
Zr 0.0000 3.8868 1.3618
Ni 3.8868 0.0000 1.3618
Ni 0.0000 0.0000 2.7237
Hg 1.9434 -1.5538 2.0428
Hg 2.3330 1.9434 0.6809
Hg 1.9434 5.4406 -0.6809
Hg 1.5538 1.9434 3.4046
```


# 5
Density functional theory data (GGA-PBE) for an optimized crystal structure of ZrNi3Hg.

energy above the most stable polymorph in this dataset: 0.06 eV/f.u.
ΔE_f: 1.077 eV per atom
total magnetic moment: 0.00 μB/cell

Cell and atoms, written as extended XYZ:
```
5
Lattice="4.6376 0.0000 0.0000 0.0000 4.6376 0.0000 0.0000 0.0000 4.6376" Properties=species:S:1:pos:R:3 pbc="T T T"
Zr 0.0000 0.0000 0.0000
Ni 0.0000 0.0000 2.3188
Ni 0.0000 2.3188 0.0000
Ni 2.3188 0.0000 0.0000
Hg 2.3188 2.3188 2.3188
```


# 6
Density functional theory data (GGA-PBE) for an optimized crystal structure of ZrNiHg3.

energy above the most stable polymorph in this dataset: 0.00 eV/f.u.
ΔE_f: 0.430 eV per atom
total magnetic moment: 0.00 μB/cell

Cell and atoms, written as extended XYZ:
```
5
Lattice="4.8446 0.0000 0.0000 0.0000 4.8446 0.0000 0.0000 0.0000 4.8446" Properties=species:S:1:pos:R:3 pbc="T T T"
Zr 0.0000 0.0000 0.0000
Ni 2.4223 2.4223 2.4223
Hg 0.0000 2.4223 2.4223
Hg 2.4223 0.0000 2.4223
Hg 2.4223 2.4223 0.0000
```


The lowest ΔE_f belongs to which entry? number 1


What is the formula in the third record? ZrNiHg2


What is the formula in the third record? ZrNiHg2


Repeat the sixth record exactly.
Density functional theory data (GGA-PBE) for an optimized crystal structure of ZrNiHg3.

energy above the most stable polymorph in this dataset: 0.00 eV/f.u.
ΔE_f: 0.430 eV per atom
total magnetic moment: 0.00 μB/cell

Cell and atoms, written as extended XYZ:
```
5
Lattice="4.8446 0.0000 0.0000 0.0000 4.8446 0.0000 0.0000 0.0000 4.8446" Properties=species:S:1:pos:R:3 pbc="T T T"
Zr 0.0000 0.0000 0.0000
Ni 2.4223 2.4223 2.4223
Hg 0.0000 2.4223 2.4223
Hg 2.4223 0.0000 2.4223
Hg 2.4223 2.4223 0.0000
```